DFT (PBE-GGA) results for a relaxed Rb4Tb3DyTe8 crystal.

Calculated values
Raw formation energy: -1389 meV per atom
SG: No. 166

Lattice parameters (Å, degrees): 10.0322 10.0322 10.0322 53.78 53.78 53.78
Fractional positions:
Rb 0.0000 0.0000 0.0000
Rb 0.0000 0.5000 0.5000
Rb 0.5000 0.0000 0.5000
Rb 0.5000 0.5000 0.0000
Tb 0.0000 0.0000 0.5000
Tb 0.0000 0.5000 0.0000
Tb 0.5000 0.0000 0.0000
Dy 0.5000 0.5000 0.5000
Te 0.2334 0.2334 0.2334
Te 0.2342 0.7327 0.7327
Te 0.2673 0.2673 0.7658
Te 0.2673 0.7658 0.2673
Te 0.7327 0.2342 0.7327
Te 0.7327 0.7327 0.2342
Te 0.7658 0.2673 0.2673
Te 0.7666 0.7666 0.7666

DFT (PBE-GGA) results for a relaxed Rb4TbDy3Te8 crystal.

Calculated values
Raw formation energy: -1386 meV per atom
SG: No. 166

Lattice parameters (Å, degrees): 10.0258 10.0258 10.0258 53.72 53.72 53.72
Fractional positions:
Rb 0.0000 0.0000 0.0000
Rb 0.0000 0.5000 0.5000
Rb 0.5000 0.0000 0.5000
Rb 0.5000 0.5000 0.0000
Tb 0.5000 0.5000 0.5000
Dy 0.0000 0.0000 0.5000
Dy 0.0000 0.5000 0.0000
Dy 0.5000 0.0000 0.0000
Te 0.2323 0.7336 0.7336
Te 0.2330 0.2330 0.2330
Te 0.2664 0.2664 0.7677
Te 0.2664 0.7677 0.2664
Te 0.7336 0.2323 0.7336
Te 0.7336 0.7336 0.2323
Te 0.7670 0.7670 0.7670
Te 0.7677 0.2664 0.2664

DFT (PBE-GGA) results for a relaxed Rb3TbDy2Te6 crystal.

Calculated values
Raw formation energy: -1387 meV per atom
SG: No. 12

Lattice parameters (Å, degrees): 7.8476 7.8476 8.9450 98.41 98.41 120.00
Fractional positions:
Rb 0.0000 0.0000 0.0000
Rb 0.3335 0.6665 0.0000
Rb 0.6665 0.3335 0.0000
Tb 0.5000 0.5000 0.5000
Dy 0.1667 0.8333 0.5000
Dy 0.8333 0.1667 0.5000
Te 0.0992 0.4335 0.3006
Te 0.2321 0.2321 0.6994
Te 0.4335 0.0992 0.3006
Te 0.5665 0.9008 0.6994
Te 0.7679 0.7679 0.3006
Te 0.9008 0.5665 0.6994